Computed, not measured: Pr2Dy7Tm4 after structural relaxation at the PBE level of DFT.

abc: 6.0662 6.0662 13.2563
angles: 90.00 90.00 120.00
Last column: nearest neighbours and their distance in Å.
Element x y z (fractional)
Dy 0.3552 0.0000 0.2196  1 Tm 3.17, 4 Dy 3.39, 2 Pr 3.51
Dy 0.0000 0.3552 0.2196  1 Tm 3.17, 4 Dy 3.39, 2 Pr 3.51
Dy 0.6448 0.6448 0.2196  1 Tm 3.17, 4 Dy 3.39, 2 Pr 3.51
Dy 0.6448 0.0000 0.7804  1 Tm 3.17, 4 Dy 3.39, 2 Pr 3.51
Dy 0.0000 0.0000 0.0000  6 Pr 3.50, 6 Dy 3.62
Dy 0.3552 0.3552 0.7804  1 Tm 3.17, 4 Dy 3.39, 2 Pr 3.51
Dy 0.0000 0.6448 0.7804  1 Tm 3.17, 4 Dy 3.39, 2 Pr 3.51
Pr 0.3333 0.6667 0.0000  3 Pr 3.50, 9 Dy 3.50-3.51
Pr 0.6667 0.3333 0.0000  3 Pr 3.50, 9 Dy 3.50-3.51
Tm 0.0000 0.0000 0.6046  1 Tm 2.77
Tm 0.6667 0.3333 0.5000  9 Tm 3.50-3.77
Tm 0.3333 0.6667 0.5000  9 Tm 3.50-3.77
Tm 0.0000 0.0000 0.3954  1 Tm 2.77

Calculated values
- calculated total energy (eV per atom) = -4.39
- magnetic moment (μB/atom) = 0.00



Computed, not measured: Ge2BiMoW after structural relaxation at the PBE level of DFT.

abc: 5.3608 5.2477 5.3608
angles: 90.00 90.00 90.00
Last column: nearest neighbours and their distance in Å.
Element x y z (fractional)
Ge 0.0000 0.0000 0.5000  2 Bi 2.68
Ge 0.5000 0.0000 0.0000  2 Bi 2.68
Bi 0.0000 0.0000 0.0000  2 W 2.62, 4 Ge 2.68
W 0.0000 0.5000 0.0000  2 Bi 2.62
Mo 0.5000 0.5000 0.5000  8 Ge 3.75, 4 W 3.79

Calculated values
- calculated total energy (eV per atom) = -4.96
- magnetic moment (μB/atom) = 0.28



Computed, not measured: MoHBr after structural relaxation at the PBE level of DFT.

abc: 3.9650 9.0299 6.2721
angles: 106.89 90.00 90.00
Last column: nearest neighbours and their distance in Å.
Element x y z (fractional)
Br 0.2500 0.3144 0.5566  2 Mo 2.55-2.61
Br 0.7500 0.6856 0.4434  2 Mo 2.55-2.61
Br 0.7500 0.6856 0.9434  2 Mo 2.55-2.61
Br 0.2500 0.3144 0.0566  2 Mo 2.55-2.61
H 0.2500 0.8900 0.7641  3 Mo 1.81-2.00
H 0.7500 0.1100 0.7359  3 Mo 1.81-2.00
H 0.7500 0.1100 0.2359  3 Mo 1.81-2.00
H 0.2500 0.8900 0.2641  3 Mo 1.81-2.00
Mo 0.7500 0.9224 0.7849  3 H 1.81-2.00
Mo 0.2500 0.0776 0.2151  3 H 1.81-2.00
Mo 0.7500 0.9224 0.2849  3 H 1.81-2.00
Mo 0.2500 0.0776 0.7151  3 H 1.81-2.00

Calculated values
- calculated total energy (eV per atom) = -5.44
- magnetic moment (μB/atom) = 0.00



Computed, not measured: RbZnCd after structural relaxation at the PBE level of DFT.

abc: 5.4203 4.8185 4.8185
angles: 120.00 90.00 90.00
Last column: nearest neighbours and their distance in Å.
Element x y z (fractional)
Zn 0.1672 0.3333 0.6667  3 Cd 2.78
Rb 0.6663 0.6667 0.3333  6 Zn 3.88-3.89, 6 Cd 3.88
Cd 0.1665 0.0000 0.0000  3 Zn 2.78

Calculated values
- magnetic moment (μB/atom) = 0.00
- offset from the most stable computed form (eV/atom) = 0.0540



Computed, not measured: Ce2PuTc2 after structural relaxation at the PBE level of DFT.

abc: 7.0043 7.6826 8.7274
angles: 90.00 107.28 90.00
Last column: nearest neighbours and their distance in Å.
Element x y z (fractional)
Tc 0.5999 0.4703 0.3724  2 Pu 2.44-2.61
Tc 0.7119 0.9923 0.1028  3 Ce 2.66-2.86, 1 Pu 2.68, 1 Tc 2.98
Tc 0.7881 0.4923 0.8972  3 Ce 2.66-2.86, 1 Pu 2.68, 1 Tc 2.98
Tc 0.9001 0.9703 0.6276  2 Pu 2.44-2.61
Tc 0.4001 0.5297 0.6276  2 Pu 2.44-2.61
Tc 0.2881 0.0077 0.8972  3 Ce 2.66-2.86, 1 Pu 2.68, 1 Tc 2.98
Tc 0.2119 0.5077 0.1028  3 Ce 2.66-2.86, 1 Pu 2.68, 1 Tc 2.98
Tc 0.0999 0.0297 0.3724  2 Pu 2.44-2.61
Ce 0.5230 0.6991 0.9841  3 Tc 2.66-2.86
Ce 0.5454 0.1375 0.6883  3 Tc 2.98-3.17, 1 Pu 3.19, 1 Ce 3.28
Ce 0.0230 0.8009 0.9841  3 Tc 2.66-2.86
Ce 0.0454 0.3625 0.6883  3 Tc 2.98-3.17, 1 Pu 3.19, 1 Ce 3.28
Ce 0.4546 0.8625 0.3117  3 Tc 2.98-3.17, 1 Pu 3.19, 1 Ce 3.28
Ce 0.9546 0.6375 0.3117  3 Tc 2.98-3.17, 1 Pu 3.19, 1 Ce 3.28
Ce 0.4770 0.3009 0.0159  3 Tc 2.66-2.86
Ce 0.9770 0.1991 0.0159  3 Tc 2.66-2.86
Pu 0.7280 0.6972 0.6383  3 Tc 2.44-2.68
Pu 0.7720 0.1972 0.3617  3 Tc 2.44-2.68
Pu 0.2280 0.8028 0.6383  3 Tc 2.44-2.68
Pu 0.2720 0.3028 0.3617  3 Tc 2.44-2.68

Calculated values
- magnetic moment (μB/atom) = 0.98
- offset from the most stable computed form (eV/atom) = 0.0782



Computed, not measured: Ac4Pr3Dy2 after structural relaxation at the PBE level of DFT.

abc: 5.4260 6.5134 11.3840
angles: 74.54 90.00 65.36
Last column: nearest neighbours and their distance in Å.
Element x y z (fractional)
Pr 0.3333 0.3335 0.4472  3 Dy 3.72-3.81, 3 Pr 3.75-3.78, 6 Ac 3.76-3.83
Pr 0.0000 0.0000 0.0000  8 Ac 3.76-3.78, 4 Dy 3.88
Pr 0.6667 0.6665 0.5528  3 Dy 3.72-3.81, 3 Pr 3.75-3.78, 6 Ac 3.76-3.83
Dy 0.3298 0.3403 0.7733  5 Pr 3.72-3.88, 7 Ac 3.75-3.83
Dy 0.6702 0.6597 0.2267  5 Pr 3.72-3.88, 7 Ac 3.75-3.83
Ac 0.9982 0.0031 0.6688  3 Dy 3.75-3.76, 6 Pr 3.76-3.83, 3 Ac 3.83-3.85
Ac 0.3335 0.3332 0.1111  4 Pr 3.78-3.83, 4 Dy 3.78-3.83, 4 Ac 3.83-3.84
Ac 0.6665 0.6668 0.8889  4 Pr 3.78-3.83, 4 Dy 3.78-3.83, 4 Ac 3.83-3.84
Ac 0.0018 0.9969 0.3312  3 Dy 3.75-3.76, 6 Pr 3.76-3.83, 3 Ac 3.83-3.85

Calculated values
- calculated total energy (eV per atom) = -4.40
- magnetic moment (μB/atom) = 0.00



Computed, not measured: Na3Pa2TiTe6 after structural relaxation at the PBE level of DFT.

abc: 7.3561 7.3561 8.1756
angles: 98.64 98.64 120.01
Last column: nearest neighbours and their distance in Å.
Element x y z (fractional)
Te 0.2376 0.2376 0.7677  1 Ti 2.94, 2 Pa 3.10, 2 Na 3.22
Te 0.0764 0.3927 0.2307  1 Ti 2.94, 2 Pa 3.10, 3 Na 3.18-3.27
Te 0.9236 0.6073 0.7693  1 Ti 2.94, 2 Pa 3.10, 3 Na 3.18-3.27
Te 0.6073 0.9236 0.7693  1 Ti 2.94, 2 Pa 3.10, 3 Na 3.18-3.27
Te 0.3927 0.0764 0.2307  1 Ti 2.94, 2 Pa 3.10, 3 Na 3.18-3.27
Te 0.7624 0.7624 0.2323  1 Ti 2.94, 2 Pa 3.10, 2 Na 3.22
Pa 0.6656 0.3344 0.0000  6 Te 3.10
Pa 0.3344 0.6656 0.0000  6 Te 3.10
Na 0.1729 0.8271 0.5000  6 Te 3.18-3.27
Na 0.8271 0.1729 0.5000  6 Te 3.18-3.27
Na 0.5000 0.5000 0.5000  6 Te 3.18-3.32
Ti 0.0000 0.0000 0.0000  6 Te 2.94

Calculated values
- magnetic moment (μB/atom) = 0.42
- raw formation energy (kJ/mol of atoms) = -82



Computed, not measured: LiGaRePdRu after structural relaxation at the PBE level of DFT.

abc: 2.7721 3.8021 13.6090
angles: 90.00 90.00 90.00
Last column: nearest neighbours and their distance in Å.
Element x y z (fractional)
Li 0.0000 0.0000 0.6422  4 Pd 2.66, 4 Ga 2.71, 2 Li 2.77, 1 Re 2.81, 1 Ru 2.82
Li 0.5000 0.5000 0.1422  4 Pd 2.66, 4 Ga 2.71, 2 Li 2.77, 1 Re 2.81, 1 Ru 2.82
Ru 0.5000 0.5000 0.3493  4 Re 2.63, 1 Pd 2.74, 2 Ru 2.77, 4 Ga 2.78, 1 Li 2.82
Ru 0.0000 0.0000 0.8493  4 Re 2.63, 1 Pd 2.74, 2 Ru 2.77, 4 Ga 2.78, 1 Li 2.82
Ga 0.5000 0.5000 0.7412  1 Pd 2.59, 1 Re 2.65, 4 Li 2.71, 2 Ga 2.77, 4 Ru 2.78
Ga 0.0000 0.0000 0.2412  1 Pd 2.59, 1 Re 2.65, 4 Li 2.71, 2 Ga 2.77, 4 Ru 2.78
Re 0.5000 0.5000 0.9360  4 Ru 2.63, 1 Ga 2.65, 2 Re 2.77, 1 Li 2.81, 4 Pd 2.82
Re 0.0000 0.0000 0.4360  4 Ru 2.63, 1 Ga 2.65, 2 Re 2.77, 1 Li 2.81, 4 Pd 2.82
Pd 0.0000 0.0000 0.0506  1 Ga 2.59, 4 Li 2.66, 1 Ru 2.74, 2 Pd 2.77, 4 Re 2.82
Pd 0.5000 0.5000 0.5506  1 Ga 2.59, 4 Li 2.66, 1 Ru 2.74, 2 Pd 2.77, 4 Re 2.82

Calculated values
- magnetic moment (μB/atom) = 0.00
- offset from the most stable computed form (eV/atom) = 0.0000



Computed, not measured: Th3Ge4Rh7 after structural relaxation at the PBE level of DFT.

abc: 4.1272 8.1651 8.3846
angles: 70.70 75.75 75.36
Last column: nearest neighbours and their distance in Å.
Element x y z (fractional)
Ge 0.1142 0.1112 0.6604  6 Rh 2.51-2.65
Ge 0.6636 0.4489 0.2239  5 Rh 2.51-2.56
Ge 0.8858 0.8888 0.3396  6 Rh 2.51-2.65
Ge 0.3364 0.5511 0.7761  5 Rh 2.51-2.56
Th 0.3318 0.1759 0.1605  9 Rh 2.99-3.21, 4 Ge 3.10-3.13
Th 0.0000 0.5000 0.5000  6 Ge 2.97-3.16, 6 Rh 3.32
Th 0.6682 0.8241 0.8395  9 Rh 2.99-3.21, 4 Ge 3.10-3.13
Rh 0.1635 0.5982 0.0749  3 Ge 2.51-2.56
Rh 0.5038 0.7672 0.2253  3 Ge 2.52-2.56
Rh 0.4962 0.2328 0.7747  3 Ge 2.52-2.56
Rh 0.8365 0.4018 0.9251  3 Ge 2.51-2.56
Rh 0.3027 0.8466 0.5480  4 Ge 2.51-2.63
Rh 0.0000 0.0000 0.0000  2 Ge 2.65
Rh 0.6973 0.1534 0.4520  4 Ge 2.51-2.63

Calculated values
- calculated total energy (eV per atom) = -7.48
- magnetic moment (μB/atom) = 0.00



Computed, not measured: NbGa2Cl after structural relaxation at the PBE level of DFT.

abc: 8.6098 8.6098 6.5472
angles: 48.89 48.89 90.00
Last column: nearest neighbours and their distance in Å.
Element x y z (fractional)
Cl 0.5000 0.5000 0.0000  2 Nb 2.41
Cl 0.2500 0.7500 0.5000  2 Nb 2.41
Ga 0.8750 0.9455 0.7500  2 Ga 2.70, 2 Nb 2.72
Ga 0.6955 0.1250 0.2500  2 Ga 2.70, 2 Nb 2.72
Ga 0.3750 0.3045 0.7500  2 Ga 2.70, 2 Nb 2.72
Ga 0.0545 0.6250 0.2500  2 Ga 2.70, 2 Nb 2.72
Nb 0.7500 0.2500 0.5000  2 Cl 2.41
Nb 0.0000 0.0000 0.0000  2 Cl 2.41

Calculated values
- magnetic moment (μB/atom) = 0.00
- raw formation energy (kJ/mol of atoms) = 23
- offset from the most stable computed form (eV/atom) = 0.0000



Among the records above, which one has the highest magnetic moment? Ce2PuTc2